1.
CsTc3F after structural relaxation, computed with PBE.

Cell lengths 5.071, 5.071, 5.071 Å; angles 90.00, 90.00, 90.00 degrees
Last column: magnetic moment on the atom in μB.
Fractional coordinates of all 5 atoms:
Tc: 0.000 0.500 0.000  2.29
Tc: 0.000 0.000 0.500  2.10
Tc: 0.500 0.000 0.000  2.60
F: 0.500 0.500 0.500  0.19
Cs: 0.000 0.000 0.000  -0.05

## Properties
total magnetization: 8.0 μB per cell
E above lowest polymorph: 121.46 kJ/mol of atoms
ΔE_f (raw): 3038 meV/atom
crystal system: cubic
uncorrected energy: -3.726 eV/atom

=====

2.
CsTc3F after structural relaxation, computed with PBE.

Cell lengths 4.687, 4.687, 4.687 Å; angles 90.00, 90.00, 90.00 degrees
Last column: magnetic moment on the atom in μB.
Fractional coordinates of all 5 atoms:
F: 0.000 0.000 0.000  0.14
Tc: 0.000 0.000 0.500  2.57
Tc: 0.500 0.000 0.000  2.41
Tc: 0.000 0.500 0.000  2.57
Cs: 0.500 0.500 0.500  0.16

## Properties
total magnetization: 8.9 μB per cell
E above lowest polymorph: 0.00 kJ/mol of atoms
ΔE_f (raw): 1780 meV/atom
crystal system: cubic
uncorrected energy: -4.985 eV/atom

=====

3.
Cs3TcF8 after structural relaxation, computed with PBE.

Cell lengths 7.915, 8.869, 8.869 Å; angles 120.00, 90.00, 90.00 degrees
Last column: magnetic moment on the atom in μB.
Fractional coordinates of all 24 atoms:
F: 0.521 0.564 0.128  0.05
F: 0.165 0.667 0.333  0.11
F: 0.021 0.128 0.564  0.05
F: 0.795 0.459 0.230  0.05
F: 0.521 0.564 0.436  0.05
F: 0.021 0.436 0.872  0.05
F: 0.295 0.230 0.459  0.05
F: 0.943 0.000 0.000  0.07
F: 0.443 0.000 0.000  0.07
F: 0.295 0.541 0.770  0.05
F: 0.521 0.872 0.436  0.05
F: 0.795 0.770 0.541  0.05
F: 0.021 0.436 0.564  0.05
F: 0.795 0.770 0.230  0.05
F: 0.665 0.333 0.667  0.11
F: 0.295 0.230 0.770  0.05
Tc: 0.159 0.333 0.667  1.73
Tc: 0.659 0.667 0.333  1.73
Cs: 0.185 0.843 0.157  0.01
Cs: 0.685 0.686 0.843  0.01
Cs: 0.685 0.157 0.314  0.01
Cs: 0.185 0.314 0.157  0.01
Cs: 0.685 0.157 0.843  0.01
Cs: 0.185 0.843 0.686  0.01

## Properties
total magnetization: 4.8 μB per cell
ΔE_f (raw): -2447 meV/atom
crystal system: hexagonal
uncorrected energy: -4.772 eV/atom

=====

4.
CsTcF3 after structural relaxation, computed with PBE.

Cell lengths 5.180, 5.180, 5.180 Å; angles 90.00, 90.00, 90.00 degrees
Last column: magnetic moment on the atom in μB.
Fractional coordinates of all 5 atoms:
F: 0.000 0.500 0.000  -0.01
F: 0.500 0.000 0.000  -0.01
F: 0.000 0.000 0.500  -0.01
Tc: 0.500 0.500 0.500  4.08
Cs: 0.000 0.000 0.000  -0.01

## Properties
total magnetization: 4.7 μB per cell
E above lowest polymorph: 135.68 kJ/mol of atoms
ΔE_f (raw): -362 meV/atom
crystal system: cubic
uncorrected energy: -3.729 eV/atom

=====

5.
CsTc2F11 after structural relaxation, computed with PBE.

Cell lengths 10.046, 9.201, 9.201 Å; angles 64.04, 56.91, 56.91 degrees
Last column: magnetic moment on the atom in μB.
Fractional coordinates of all 28 atoms:
Tc: 0.846 0.136 0.864  1.55
Tc: 0.654 0.636 0.364  1.55
Tc: 0.346 0.364 0.636  1.55
Tc: 0.154 0.864 0.136  1.55
F: 0.650 0.142 0.083  0.06
F: 0.322 0.374 0.850  0.06
F: 0.822 0.350 0.874  0.06
F: 0.202 0.243 0.757  0.09
F: 0.625 0.642 0.583  0.06
F: 0.875 0.917 0.858  0.06
F: 0.850 0.417 0.358  0.06
F: 0.954 0.874 0.350  0.06
F: 0.350 0.858 0.917  0.06
F: 0.546 0.150 0.626  0.06
F: 0.500 0.500 0.500  0.03
F: 0.178 0.650 0.126  0.06
F: 0.150 0.583 0.642  0.06
F: 0.125 0.083 0.142  0.06
F: 0.375 0.358 0.417  0.06
F: 0.000 0.000 0.000  0.03
F: 0.798 0.757 0.243  0.09
F: 0.702 0.257 0.743  0.09
F: 0.454 0.850 0.374  0.06
F: 0.046 0.126 0.650  0.06
F: 0.678 0.626 0.150  0.06
F: 0.298 0.743 0.257  0.09
Cs: 0.750 0.750 0.750  0.00
Cs: 0.250 0.250 0.250  0.00

## Properties
total magnetization: 8.0 μB per cell
ΔE_f (raw): -2220 meV/atom
crystal system: orthorhombic
uncorrected energy: -5.232 eV/atom

=====

6.
CsTcF5 after structural relaxation, computed with PBE.

Cell lengths 7.240, 7.240, 7.237 Å; angles 113.28, 107.16, 108.06 degrees
Last column: magnetic moment on the atom in μB.
Fractional coordinates of all 14 atoms:
F: 0.776 0.818 0.043  0.10
F: 0.774 0.500 0.274  0.09
F: 0.226 0.500 0.726  0.09
F: 0.056 0.306 0.250  0.04
F: 0.775 0.233 0.457  0.10
F: 0.773 0.000 0.774  0.09
F: 0.227 0.000 0.226  0.09
F: 0.944 0.694 0.750  0.04
F: 0.224 0.182 0.957  0.10
F: 0.225 0.767 0.543  0.10
Cs: 0.525 0.275 0.750  0.00
Cs: 0.475 0.725 0.250  0.00
Tc: 0.000 0.000 0.000  2.39
Tc: 0.000 0.500 0.500  2.39

## Properties
total magnetization: 6.0 μB per cell
ΔE_f (raw): -2394 meV/atom
crystal system: orthorhombic
uncorrected energy: -5.334 eV/atom

=====

7.
Cs2TcF6 after structural relaxation, computed with PBE.

Cell lengths 6.476, 7.860, 8.279 Å; angles 90.00, 90.00, 108.37 degrees
Last column: magnetic moment on the atom in μB.
Fractional coordinates of all 18 atoms:
F: 0.126 0.761 0.034  0.07
F: 0.269 0.489 0.892  0.06
F: 0.874 0.239 0.966  0.07
F: 0.116 0.453 0.209  0.07
F: 0.384 0.047 0.709  0.07
F: 0.626 0.261 0.466  0.07
F: 0.884 0.547 0.791  0.07
F: 0.731 0.511 0.108  0.06
F: 0.769 0.989 0.608  0.06
F: 0.374 0.739 0.534  0.07
F: 0.616 0.953 0.291  0.07
F: 0.231 0.011 0.392  0.06
Cs: 0.355 0.177 0.064  0.00
Cs: 0.855 0.677 0.436  0.00
Cs: 0.145 0.323 0.564  0.00
Cs: 0.645 0.823 0.936  0.00
Tc: 0.500 0.000 0.500  2.42
Tc: 0.000 0.500 0.000  2.42

## Properties
total magnetization: 6.0 μB per cell
E above lowest polymorph: 1.08 kJ/mol of atoms
ΔE_f (raw): -2570 meV/atom
crystal system: monoclinic
uncorrected energy: -5.159 eV/atom

=====

8.
Cs3TcF7 after structural relaxation, computed with PBE.

Cell lengths 6.422, 8.674, 8.674 Å; angles 90.00, 90.00, 90.00 degrees
Last column: magnetic moment on the atom in μB.
Fractional coordinates of all 22 atoms:
F: 0.000 0.161 0.661  0.07
F: 0.779 0.389 0.889  0.07
F: 0.500 0.000 0.000  0.00
F: 0.221 0.889 0.611  0.07
F: 0.779 0.611 0.111  0.07
F: 0.779 0.889 0.611  0.07
F: 0.221 0.389 0.889  0.07
F: 0.000 0.339 0.161  0.07
F: 0.000 0.839 0.339  0.07
F: 0.221 0.111 0.389  0.07
F: 0.000 0.661 0.839  0.07
F: 0.500 0.500 0.500  0.00
F: 0.779 0.111 0.389  0.07
F: 0.221 0.611 0.111  0.07
Cs: 0.500 0.807 0.307  0.00
Cs: 0.500 0.193 0.693  0.00
Cs: 0.500 0.307 0.193  0.00
Cs: 0.000 0.500 0.500  0.00
Cs: 0.000 0.000 0.000  0.00
Cs: 0.500 0.693 0.807  0.00
Tc: 0.000 0.000 0.500  2.42
Tc: 0.000 0.500 0.000  2.42

## Properties
total magnetization: 6.0 μB per cell
ΔE_f (raw): -2595 meV/atom
crystal system: tetragonal
uncorrected energy: -4.961 eV/atom

=====

9.
Cs2TcF6 after structural relaxation, computed with PBE.

Cell lengths 6.538, 6.538, 6.538 Å; angles 60.00, 60.00, 60.00 degrees
Last column: magnetic moment on the atom in μB.
Fractional coordinates of all 9 atoms:
F: 0.787 0.213 0.787  0.07
F: 0.787 0.213 0.213  0.07
F: 0.787 0.787 0.213  0.07
F: 0.213 0.213 0.787  0.07
F: 0.213 0.787 0.213  0.07
F: 0.213 0.787 0.787  0.07
Cs: 0.750 0.750 0.750  0.00
Cs: 0.250 0.250 0.250  0.00
Tc: 0.000 0.000 0.000  2.41

## Properties
total magnetization: 3.0 μB per cell
E above lowest polymorph: 0.00 kJ/mol of atoms
ΔE_f (raw): -2582 meV/atom
crystal system: cubic
uncorrected energy: -5.171 eV/atom

=====

10.
CsTcF2 after structural relaxation, computed with PBE.

Cell lengths 5.357, 5.357, 7.917 Å; angles 70.22, 70.22, 90.00 degrees
Last column: magnetic moment on the atom in μB.
Fractional coordinates of all 8 atoms:
F: 0.483 0.125 0.250  0.09
F: 0.375 0.517 0.750  0.09
F: 0.267 0.625 0.250  0.09
F: 0.875 0.733 0.750  0.09
Tc: 0.500 0.500 0.000  3.40
Tc: 0.250 0.750 0.500  3.41
Cs: 0.000 0.000 0.000  0.01
Cs: 0.750 0.250 0.500  0.01

## Properties
total magnetization: 8.2 μB per cell
E above lowest polymorph: 27.59 kJ/mol of atoms
ΔE_f (raw): -947 meV/atom
crystal system: tetragonal
uncorrected energy: -4.688 eV/atom

=====

11.
Cs2TcF6 after structural relaxation, computed with PBE.

Cell lengths 6.360, 6.360, 5.156 Å; angles 90.00, 90.00, 120.00 degrees
Last column: magnetic moment on the atom in μB.
Fractional coordinates of all 9 atoms:
F: 0.851 0.701 0.212  0.07
F: 0.701 0.851 0.788  0.07
F: 0.149 0.299 0.788  0.07
F: 0.851 0.149 0.212  0.07
F: 0.149 0.851 0.788  0.07
F: 0.299 0.149 0.212  0.07
Cs: 0.333 0.667 0.299  0.00
Cs: 0.667 0.333 0.701  0.00
Tc: 0.000 0.000 0.000  2.42

## Properties
total magnetization: 3.0 μB per cell
E above lowest polymorph: 0.07 kJ/mol of atoms
ΔE_f (raw): -2581 meV/atom
crystal system: trigonal
uncorrected energy: -5.170 eV/atom

=====

12.
CsTcF3 after structural relaxation, computed with PBE.

Cell lengths 4.638, 4.638, 4.638 Å; angles 90.00, 90.00, 90.00 degrees
Last column: magnetic moment on the atom in μB.
Fractional coordinates of all 5 atoms:
F: 0.000 0.000 0.500  0.06
F: 0.500 0.000 0.000  0.14
F: 0.000 0.500 0.000  0.11
Tc: 0.000 0.000 0.000  4.21
Cs: 0.500 0.500 0.500  0.00

## Properties
total magnetization: 5.0 μB per cell
E above lowest polymorph: 0.00 kJ/mol of atoms
ΔE_f (raw): -1768 meV/atom
crystal system: cubic
uncorrected energy: -5.135 eV/atom

=====

Q: Among the records above, which one has the highest uncorrected energy?
A: number 1